Here is an optimized crystal structure of Mn6GePt5 from Alexandria via LeMat-Bulk. Energies are from PBE-GGA.

Output
Total magnetic moment in μB per formula unit: 24.20
SG: Immm (71)
DFT total energy in eV per atom: -7.764
Energy relative to the elements in meV per atom: -278

Cell: 4.0667 7.2370 7.3716 Å, 119.40 106.03 90.00°
Last column: nearest neighbours and their distance in Å.
Fractional coordinates of all 12 atoms:
Ge  0.0000  0.0000  0.0000  8 Mn 2.71-2.73, 4 Pt 2.86
Mn  0.8343  0.5835  0.6685  7 Pt 2.71-2.74, 1 Ge 2.71, 4 Mn 2.86-2.89
Mn  0.8343  0.0850  0.6685  7 Pt 2.71-2.74, 1 Ge 2.71, 4 Mn 2.86-2.89
Mn  0.5000  0.7493  0.0000  6 Pt 2.71-2.72, 2 Ge 2.73, 4 Mn 2.86-2.87
Mn  0.5000  0.2507  0.0000  6 Pt 2.71-2.72, 2 Ge 2.73, 4 Mn 2.86-2.87
Mn  0.1657  0.9150  0.3315  7 Pt 2.71-2.74, 1 Ge 2.71, 4 Mn 2.86-2.89
Mn  0.1657  0.4165  0.3315  7 Pt 2.71-2.74, 1 Ge 2.71, 4 Mn 2.86-2.89
Pt  0.6656  0.1654  0.3308  8 Mn 2.71-2.74, 2 Ge 2.86, 2 Pt 2.88
Pt  0.3326  0.3325  0.6650  8 Mn 2.72, 4 Pt 2.88
Pt  0.0000  0.5000  0.0000  8 Mn 2.71-2.72, 4 Pt 2.88
Pt  0.6674  0.6675  0.3350  8 Mn 2.72, 4 Pt 2.88
Pt  0.3344  0.8346  0.6692  8 Mn 2.71-2.74, 2 Ge 2.86, 2 Pt 2.88


Here is an optimized crystal structure of Mn2Ge2Pt from Alexandria via LeMat-Bulk. Energies are from PBE-GGA.

Output
Excess energy over the best structure of this formula in the dataset in eV per formula unit: 0.000
Total magnetic moment in μB per formula unit: 4.86
SG: P4/mbm (127)
DFT total energy in eV per atom: -6.812
Energy relative to the elements in meV per atom: -89

Cell: 7.1071 7.1071 2.8249 Å, 90.00 90.00 90.00°
Last column: nearest neighbours and their distance in Å.
Fractional coordinates of all 10 atoms:
Ge  0.3330  0.8330  0.0000  6 Mn 2.48-2.55, 2 Pt 2.65
Ge  0.8330  0.6670  0.0000  6 Mn 2.48-2.55, 2 Pt 2.65
Ge  0.6670  0.1670  0.0000  6 Mn 2.48-2.55, 2 Pt 2.65
Ge  0.1670  0.3330  0.0000  6 Mn 2.48-2.55, 2 Pt 2.65
Mn  0.1297  0.6297  0.5000  6 Ge 2.48-2.55, 1 Mn 2.61
Mn  0.6297  0.8703  0.5000  6 Ge 2.48-2.55, 1 Mn 2.61
Mn  0.8703  0.3703  0.5000  6 Ge 2.48-2.55, 1 Mn 2.61
Mn  0.3703  0.1297  0.5000  6 Ge 2.48-2.55, 1 Mn 2.61
Pt  0.0000  0.0000  0.0000  4 Ge 2.65, 2 Pt 2.82
Pt  0.5000  0.5000  0.0000  4 Ge 2.65, 2 Pt 2.82


Here is an optimized crystal structure of Mn3GePt from Alexandria via LeMat-Bulk. Energies are from PBE-GGA.

Output
Total magnetic moment in μB per formula unit: 11.68
SG: Pm-3m (221)
DFT total energy in eV per atom: -6.833
Energy relative to the elements in meV per atom: 800

Cell: 4.6888 4.6888 4.6888 Å, 90.00 90.00 90.00°
Last column: nearest neighbours and their distance in Å.
Fractional coordinates of all 5 atoms:
Ge  0.0000  0.0000  0.0000  6 Mn 2.34
Mn  0.0000  0.5000  0.0000  2 Ge 2.34
Mn  0.0000  0.0000  0.5000  2 Ge 2.34
Mn  0.5000  0.0000  0.0000  2 Ge 2.34
Pt  0.5000  0.5000  0.5000  12 Mn 3.32


Here is an optimized crystal structure of Mn2Ge2Pt from Alexandria via LeMat-Bulk. Energies are from PBE-GGA.

Output
Excess energy over the best structure of this formula in the dataset in eV per formula unit: 1.585
Total magnetic moment in μB per formula unit: 3.62
SG: I4/mmm (139)
DFT total energy in eV per atom: -6.495
Energy relative to the elements in meV per atom: 228

Cell: 3.5949 3.5949 6.2753 Å, 73.36 73.36 90.00°
Last column: nearest neighbours and their distance in Å.
Fractional coordinates of all 5 atoms:
Ge  0.7500  0.2500  0.5000  4 Mn 2.53, 4 Ge 2.54
Ge  0.2500  0.7500  0.5000  4 Mn 2.53, 4 Ge 2.54
Mn  0.4058  0.4058  0.1885  1 Mn 2.16
Mn  0.5942  0.5942  0.8115  1 Mn 2.16
Pt  0.0000  0.0000  0.0000  8 Mn 2.76


Here is an optimized crystal structure of MnGePt3 from Alexandria via LeMat-Bulk. Energies are from PBE-GGA.

Output
Excess energy over the best structure of this formula in the dataset in eV per formula unit: 6.227
Total magnetic moment in μB per formula unit: 0.00
SG: Pm-3m (221)
DFT total energy in eV per atom: -5.491
Energy relative to the elements in meV per atom: 891

Cell: 4.5856 4.5856 4.5856 Å, 90.00 90.00 90.00°
Last column: nearest neighbours and their distance in Å.
Fractional coordinates of all 5 atoms:
Ge  0.5000  0.5000  0.5000  12 Pt 3.24
Mn  0.0000  0.0000  0.0000  6 Pt 2.29
Pt  0.0000  0.5000  0.0000  2 Mn 2.29
Pt  0.0000  0.0000  0.5000  2 Mn 2.29
Pt  0.5000  0.0000  0.0000  2 Mn 2.29


Here is an optimized crystal structure of MnGePt3 from Alexandria via LeMat-Bulk. Energies are from PBE-GGA.

Output
Excess energy over the best structure of this formula in the dataset in eV per formula unit: 3.977
Total magnetic moment in μB per formula unit: 4.81
SG: Pm-3m (221)
DFT total energy in eV per atom: -5.941
Energy relative to the elements in meV per atom: 441

Cell: 4.6366 4.6366 4.6366 Å, 90.00 90.00 90.00°
Last column: nearest neighbours and their distance in Å.
Fractional coordinates of all 5 atoms:
Ge  0.0000  0.0000  0.0000  6 Pt 2.32
Mn  0.5000  0.5000  0.5000  12 Pt 3.28
Pt  0.0000  0.5000  0.0000  2 Ge 2.32
Pt  0.0000  0.0000  0.5000  2 Ge 2.32
Pt  0.5000  0.0000  0.0000  2 Ge 2.32


Here is an optimized crystal structure of Mn2GePt5 from Alexandria via LeMat-Bulk. Energies are from PBE-GGA.

Output
Total magnetic moment in μB per formula unit: 9.52
SG: Pbam (55)
DFT total energy in eV per atom: -7.057
Energy relative to the elements in meV per atom: -412

Cell: 4.0658 5.5647 10.8012 Å, 90.00 90.00 90.00°
Last column: nearest neighbours and their distance in Å.
Fractional coordinates of all 16 atoms:
Mn  0.5000  0.3111  0.3604  10 Pt 2.71-2.87
Mn  0.5000  0.6889  0.6396  10 Pt 2.71-2.87
Mn  0.5000  0.1889  0.8604  10 Pt 2.71-2.87
Mn  0.5000  0.8111  0.1396  10 Pt 2.71-2.87
Ge  0.0000  0.0000  0.5000  8 Pt 2.60-2.78
Ge  0.0000  0.5000  0.0000  8 Pt 2.60-2.78
Pt  0.5000  0.2981  0.1079  2 Ge 2.60, 4 Mn 2.73-2.87, 4 Pt 2.87-2.88
Pt  0.5000  0.7019  0.8921  2 Ge 2.60, 4 Mn 2.73-2.87, 4 Pt 2.87-2.88
Pt  0.5000  0.7981  0.3921  2 Ge 2.60, 4 Mn 2.73-2.87, 4 Pt 2.87-2.88
Pt  0.5000  0.2019  0.6079  2 Ge 2.60, 4 Mn 2.73-2.87, 4 Pt 2.87-2.88
Pt  0.0000  0.9429  0.7418  1 Ge 2.63, 4 Mn 2.71-2.77, 7 Pt 2.79-2.93
Pt  0.0000  0.0571  0.2582  1 Ge 2.63, 4 Mn 2.71-2.77, 7 Pt 2.79-2.93
Pt  0.0000  0.4429  0.7582  1 Ge 2.63, 4 Mn 2.71-2.77, 7 Pt 2.79-2.93
Pt  0.0000  0.5571  0.2418  1 Ge 2.63, 4 Mn 2.71-2.77, 7 Pt 2.79-2.93
Pt  0.0000  0.5000  0.5000  4 Mn 2.74, 2 Ge 2.78, 6 Pt 2.81-2.87
Pt  0.0000  0.0000  0.0000  4 Mn 2.74, 2 Ge 2.78, 6 Pt 2.81-2.87


Here is an optimized crystal structure of MnGePt from Alexandria via LeMat-Bulk. Energies are from PBE-GGA.

Output
Total magnetic moment in μB per formula unit: 3.62
SG: P-6m2 (187)
DFT total energy in eV per atom: -6.912
Energy relative to the elements in meV per atom: -303

Cell: 2.8948 4.2895 4.2895 Å, 120.00 90.00 90.00°
Last column: nearest neighbours and their distance in Å.
Fractional coordinates of all 3 atoms:
Ge  0.1667  0.0000  0.0000  3 Pt 2.48
Mn  0.6669  0.6667  0.3333  6 Pt 2.87, 6 Ge 2.87, 2 Mn 2.89
Pt  0.1663  0.3333  0.6667  3 Ge 2.48


Here is an optimized crystal structure of MnGePt5 from Alexandria via LeMat-Bulk. Energies are from PBE-GGA.

Output
Total magnetic moment in μB per formula unit: 4.16
SG: P4/mmm (123)
DFT total energy in eV per atom: -6.668
Energy relative to the elements in meV per atom: -383

Cell: 3.9506 3.9506 7.1895 Å, 90.00 90.00 90.00°
Last column: nearest neighbours and their distance in Å.
Fractional coordinates of all 7 atoms:
Mn  0.0000  0.0000  0.5000  12 Pt 2.79-2.80
Ge  0.5000  0.5000  0.0000  8 Pt 2.55
Pt  0.0000  0.5000  0.7755  2 Ge 2.55, 6 Pt 2.79-2.80, 2 Mn 2.80
Pt  0.0000  0.5000  0.2245  2 Ge 2.55, 6 Pt 2.79-2.80, 2 Mn 2.80
Pt  0.5000  0.0000  0.7755  2 Ge 2.55, 6 Pt 2.79-2.80, 2 Mn 2.80
Pt  0.5000  0.0000  0.2245  2 Ge 2.55, 6 Pt 2.79-2.80, 2 Mn 2.80
Pt  0.5000  0.5000  0.5000  4 Mn 2.79, 8 Pt 2.80


Here is an optimized crystal structure of MnGe2Pt9 from Alexandria via LeMat-Bulk. Energies are from PBE-GGA.

Output
Total magnetic moment in μB per formula unit: 5.03
SG: P4/mmm (123)
DFT total energy in eV per atom: -6.361
Energy relative to the elements in meV per atom: -296

Cell: 3.9479 3.9479 11.9371 Å, 90.00 90.00 90.00°
Last column: nearest neighbours and their distance in Å.
Fractional coordinates of all 12 atoms:
Mn  0.0000  0.0000  0.0000  12 Pt 2.79
Ge  0.0000  0.0000  0.3258  12 Pt 2.75-2.87
Ge  0.0000  0.0000  0.6742  12 Pt 2.75-2.87
Pt  0.5000  0.5000  0.0000  8 Pt 2.79, 4 Mn 2.79
Pt  0.5000  0.5000  0.3347  8 Pt 2.79-2.83, 4 Ge 2.79
Pt  0.5000  0.5000  0.6653  8 Pt 2.79-2.83, 4 Ge 2.79
Pt  0.5000  0.0000  0.1651  2 Ge 2.75, 2 Mn 2.79, 8 Pt 2.79-2.83
Pt  0.5000  0.0000  0.5000  8 Pt 2.79, 4 Ge 2.87
Pt  0.5000  0.0000  0.8349  2 Ge 2.75, 2 Mn 2.79, 8 Pt 2.79-2.83
Pt  0.0000  0.5000  0.1651  2 Ge 2.75, 2 Mn 2.79, 8 Pt 2.79-2.83
Pt  0.0000  0.5000  0.5000  8 Pt 2.79, 4 Ge 2.87
Pt  0.0000  0.5000  0.8349  2 Ge 2.75, 2 Mn 2.79, 8 Pt 2.79-2.83